# BeCo2Ag | Alexandria | PBE | optimized geometry
data_BeCo2Ag
_chemical_formula_sum 'Be1 Co2 Ag1'
_symmetry_space_group_name_H-M 'P 1'
_symmetry_Int_Tables_number 1
_cell_length_a 4.525
_cell_length_b 4.525
_cell_length_c 2.631
_cell_angle_alpha 90.00
_cell_angle_beta 90.00
_cell_angle_gamma 114.77
loop_
_symmetry_equiv_pos_as_xyz
'x,y,z'
loop_
_atom_site_label
_atom_site_fract_x
_atom_site_fract_y
_atom_site_fract_z
Be1 0.000 0.000 0.000
Co1 0.000 0.500 0.500
Co2 0.500 0.000 0.500
Ag1 0.500 0.500 0.000
# ΔH_f (0 K) = 0.361 eV/atom